one.
{
  "formula": "Cd3NiOs",
  "functional": "PBE",
  "state": "optimized geometry",
  "m_tot_mub_per_fu": 1.3,
  "spacegroup": "Pm-3m",
  "lattice": [[-4.016, 0.091, 3.248], [2.164, -3.778, 2.780], [2.425, 3.522, 2.899]],
  "species": ["Cd", "Cd", "Os", "Ni", "Cd"],
  "frac_coords": [[0.000, 0.500, 0.000], [0.500, 0.000, 0.000], [0.000, 0.000, 0.000], [0.500, 0.500, 0.500], [0.000, 0.000, 0.500]]
}



two.
{
  "formula": "Cd3NiOs",
  "functional": "PBE",
  "state": "optimized geometry",
  "m_tot_mub_per_fu": 1.9,
  "spacegroup": "Pm-3m",
  "lattice": [[4.747, 0.000, 0.000], [0.000, 4.747, 0.000], [0.000, 0.000, 4.747]],
  "species": ["Cd", "Os", "Cd", "Ni", "Cd"],
  "frac_coords": [[0.500, 0.000, 0.000], [0.500, 0.500, 0.500], [0.000, 0.500, 0.000], [0.000, 0.000, 0.000], [0.000, 0.000, 0.500]]
}



Looking at the structures above, two is most stable, and the difference to the next one is 0.130 eV/atom.